No. 1
GGA+U CrIr2O6, relaxed; space group = P321, No. 150; total DFT energy (no corrections) = -7.136 eV/atom; crystal system = trigonal
1.0
8.728 0.000 0.000
-4.364 7.559 0.000
0.000 0.000 4.326
Cr Ir O
3 6 18
Direct
0.000 0.000 0.000
0.333 0.667 0.496
0.667 0.333 0.504
0.000 0.345 0.000
0.000 0.679 0.500
0.321 0.321 0.500
0.345 0.000 0.000
0.655 0.655 0.000
0.679 0.000 0.500
0.105 0.221 0.238
0.113 0.570 0.250
0.116 0.895 0.238
0.216 0.446 0.738
0.221 0.105 0.762
0.230 0.784 0.738
0.430 0.543 0.250
0.446 0.216 0.262
0.457 0.887 0.250
0.543 0.430 0.750
0.554 0.770 0.738
0.570 0.113 0.750
0.770 0.554 0.262
0.779 0.884 0.238
0.784 0.230 0.262
0.884 0.779 0.762
0.887 0.457 0.750
0.895 0.116 0.762

No. 2
GGA+U Cr3IrO, relaxed; space group = Pm-3m, No. 221; polymorph energy (0 for the lowest one) = 0 meV per atom; crystal system = cubic
1.0
4.152 0.000 0.000
0.000 4.152 0.000
0.000 0.000 4.152
Cr Ir O
3 1 1
Direct
0.000 0.000 0.500
0.000 0.500 0.000
0.500 0.000 0.000
0.500 0.500 0.500
0.000 0.000 0.000

No. 3
GGA+U CrP2IrO, relaxed; space group = P4/mmm, No. 123; polymorph energy (0 for the lowest one) = 384 meV per atom; crystal system = tetragonal
1.0
4.806 0.000 0.000
0.000 4.806 0.000
0.000 0.000 3.659
Cr P Ir O
1 2 1 1
Direct
0.000 0.000 0.000
0.000 0.500 0.500
0.500 0.000 0.500
0.500 0.500 0.500
0.500 0.500 0.000

No. 4
GGA+U CrPIrO2, relaxed; space group = P4/mmm, No. 123; polymorph energy (0 for the lowest one) = 0 meV per atom; crystal system = tetragonal
1.0
3.750 0.000 0.000
0.000 3.750 0.000
0.000 0.000 5.392
Cr P Ir O
1 1 1 2
Direct
0.000 0.000 0.000
0.500 0.500 0.000
0.500 0.500 0.500
0.000 0.500 0.500
0.500 0.000 0.500

No. 5
GGA+U CrP2IrO, relaxed; space group = P4/mmm, No. 123; polymorph energy (0 for the lowest one) = 0 meV per atom; crystal system = tetragonal
1.0
4.680 0.000 0.000
0.000 4.680 0.000
0.000 0.000 3.404
Cr P Ir O
1 2 1 1
Direct
0.000 0.000 0.000
0.000 0.500 0.000
0.500 0.000 0.000
0.500 0.500 0.500
0.000 0.000 0.500

No. 6
GGA+U CrPIrO2, relaxed; space group = P4/mmm, No. 123; polymorph energy (0 for the lowest one) = 20 meV per atom; crystal system = tetragonal
1.0
3.501 0.000 0.000
0.000 3.501 0.000
0.000 0.000 7.118
Cr P Ir O
1 1 1 2
Direct
0.000 0.000 0.000
0.000 0.000 0.500
0.500 0.500 0.500
0.000 0.500 0.000
0.500 0.000 0.000

No. 7
GGA+U PaCr2IrO8, relaxed; space group = I-4m2, No. 119; total DFT energy (no corrections) = -7.812 eV/atom; crystal system = tetragonal
1.0
-2.527 2.527 5.034
2.527 -2.527 5.034
2.527 2.527 -5.034
Pa Cr Ir O
1 2 1 8
Direct
0.000 0.000 0.000
0.250 0.750 0.500
0.500 0.500 0.000
0.750 0.250 0.500
0.121 0.133 0.515
0.121 0.606 0.989
0.394 0.383 0.515
0.394 0.879 0.011
0.617 0.133 0.011
0.617 0.606 0.485
0.867 0.383 0.989
0.867 0.879 0.485

No. 8
GGA+U Cr2IrPbO8, relaxed; space group = Cmmm, No. 65; total DFT energy (no corrections) = -6.808 eV/atom; crystal system = orthorhombic
1.0
3.272 -3.304 0.000
3.272 3.304 0.000
0.000 0.000 6.440
Cr Ir Pb O
2 1 1 8
Direct
0.000 0.000 0.245
0.000 0.000 0.755
0.500 0.500 0.000
0.500 0.500 0.500
0.176 0.176 0.500
0.203 0.203 0.000
0.300 0.700 0.223
0.300 0.700 0.777
0.700 0.300 0.223
0.700 0.300 0.777
0.797 0.797 0.000
0.824 0.824 0.500

No. 9
GGA+U PmCr2IrO6, relaxed; space group = R3, No. 146; total DFT energy (no corrections) = -7.694 eV/atom; crystal system = trigonal
1.0
2.687 1.551 4.679
-2.687 1.551 4.679
0.000 -3.103 4.679
Pm Cr Ir O
1 2 1 6
Direct
0.000 0.000 0.000
0.221 0.221 0.221
0.735 0.735 0.735
0.534 0.534 0.534
0.108 0.458 0.840
0.384 0.945 0.563
0.458 0.840 0.108
0.563 0.384 0.945
0.840 0.108 0.458
0.945 0.563 0.384

No. 10
GGA+U RbCrIrO6, relaxed; space group = C2, No. 5; total DFT energy (no corrections) = -6.319 eV/atom; crystal system = monoclinic
1.0
2.654 -4.421 0.000
2.654 4.421 0.000
-0.175 0.000 6.338
Rb Cr Ir O
1 1 1 6
Direct
0.000 0.000 0.000
0.322 0.678 0.500
0.669 0.331 0.500
0.000 0.607 0.329
0.383 0.389 0.337
0.393 0.000 0.671
0.599 0.008 0.325
0.611 0.617 0.663
0.992 0.401 0.675

No. 11
GGA+U Rb2CrIr3O12, relaxed; space group = R-3m, No. 166; total DFT energy (no corrections) = -6.298 eV/atom; crystal system = trigonal
1.0
3.614 2.086 5.862
-3.614 2.086 5.862
0.000 -4.173 5.862
Rb Cr Ir O
2 1 3 12
Direct
0.126 0.126 0.126
0.874 0.874 0.874
0.500 0.500 0.500
0.000 0.500 0.500
0.500 0.000 0.500
0.500 0.500 0.000
0.178 0.178 0.572
0.178 0.572 0.178
0.182 0.564 0.564
0.428 0.822 0.822
0.436 0.436 0.818
0.436 0.818 0.436
0.564 0.182 0.564
0.564 0.564 0.182
0.572 0.178 0.178
0.818 0.436 0.436
0.822 0.428 0.822
0.822 0.822 0.428

No. 12
GGA+U CrIrRuO6, relaxed; space group = P-31c, No. 163; total DFT energy (no corrections) = -7.236 eV/atom; crystal system = trigonal
1.0
5.038 0.000 0.000
-2.519 4.363 0.000
0.000 0.000 8.582
Cr Ir Ru O
2 2 2 12
Direct
0.333 0.667 0.250
0.667 0.333 0.750
0.333 0.667 0.750
0.667 0.333 0.250
0.000 0.000 0.000
0.000 0.000 0.500
0.001 0.335 0.125
0.001 0.667 0.375
0.333 0.335 0.375
0.333 0.999 0.125
0.335 0.001 0.625
0.335 0.333 0.875
0.665 0.667 0.125
0.665 0.999 0.375
0.667 0.001 0.875
0.667 0.665 0.625
0.999 0.333 0.625
0.999 0.665 0.875

No. 13
GGA+U CrSbIrO6, relaxed; space group = P4_2nm, No. 102; total DFT energy (no corrections) = -6.912 eV/atom; crystal system = tetragonal
1.0
4.629 0.000 0.000
0.000 4.629 0.000
0.000 0.000 9.450
Cr Sb Ir O
2 2 2 12
Direct
0.000 0.000 0.000
0.500 0.500 0.500
0.000 0.000 0.667
0.500 0.500 0.167
0.000 0.000 0.334
0.500 0.500 0.834
0.192 0.192 0.165
0.194 0.194 0.500
0.196 0.196 0.835
0.304 0.696 0.335
0.306 0.694 0.000
0.308 0.692 0.665
0.692 0.308 0.665
0.694 0.306 0.000
0.696 0.304 0.335
0.804 0.804 0.835
0.806 0.806 0.500
0.808 0.808 0.165

No. 14
GGA+U Sc2CrIrO8, relaxed; space group = Cmmm, No. 65; total DFT energy (no corrections) = -7.735 eV/atom; crystal system = orthorhombic
1.0
3.277 -3.386 0.000
3.277 3.386 0.000
0.000 0.000 6.256
Sc Cr Ir O
2 1 1 8
Direct
0.000 0.000 0.243
0.000 0.000 0.757
0.500 0.500 0.000
0.500 0.500 0.500
0.211 0.211 0.000
0.211 0.211 0.500
0.316 0.684 0.253
0.316 0.684 0.747
0.684 0.316 0.253
0.684 0.316 0.747
0.789 0.789 0.000
0.789 0.789 0.500

No. 15
GGA+U ScCrIr2O, relaxed; space group = P4/mmm, No. 123; total DFT energy (no corrections) = -7.483 eV/atom; crystal system = tetragonal
1.0
4.406 0.000 0.000
0.000 4.406 0.000
0.000 0.000 3.867
Sc Cr Ir O
1 1 2 1
Direct
0.000 0.000 0.000
0.500 0.500 0.000
0.000 0.500 0.500
0.500 0.000 0.500
0.500 0.500 0.500

No. 16
GGA+U CrSiIr2O, relaxed; space group = P4/mmm, No. 123; total DFT energy (no corrections) = -6.689 eV/atom; crystal system = tetragonal
1.0
4.201 0.000 0.000
0.000 4.201 0.000
0.000 0.000 3.978
Cr Si Ir O
1 1 2 1
Direct
0.000 0.000 0.000
0.500 0.500 0.000
0.000 0.500 0.500
0.500 0.000 0.500
0.500 0.500 0.500

No. 17
GGA+U CrSiIrO6, relaxed; space group = P4_2nm, No. 102; total DFT energy (no corrections) = -7.378 eV/atom; crystal system = tetragonal
1.0
4.454 0.000 0.000
0.000 4.454 0.000
0.000 0.000 8.869
Cr Si Ir O
2 2 2 12
Direct
0.000 0.000 0.000
0.500 0.500 0.500
0.000 0.000 0.333
0.500 0.500 0.833
0.000 0.000 0.667
0.500 0.500 0.167
0.187 0.187 0.488
0.188 0.188 0.179
0.212 0.212 0.836
0.288 0.712 0.336
0.312 0.688 0.679
0.313 0.687 0.988
0.687 0.313 0.988
0.688 0.312 0.679
0.712 0.288 0.336
0.788 0.788 0.836
0.812 0.812 0.179
0.813 0.813 0.488

No. 18
GGA+U SrCr2IrO8, relaxed; space group = C2/m, No. 12; total DFT energy (no corrections) = -6.912 eV/atom; crystal system = monoclinic
1.0
4.287 -2.827 0.000
4.287 2.827 0.000
-0.342 0.000 7.329
Sr Cr Ir O
1 2 1 8
Direct
0.000 0.000 0.000
0.368 0.368 0.719
0.632 0.632 0.281
0.000 0.000 0.500
0.223 0.223 0.549
0.223 0.739 0.701
0.261 0.777 0.299
0.291 0.291 0.922
0.709 0.709 0.078
0.739 0.223 0.701
0.777 0.261 0.299
0.777 0.777 0.451

No. 19
GGA+U SrCrIrO6, relaxed; space group = P312, No. 149; total DFT energy (no corrections) = -6.837 eV/atom; crystal system = trigonal
1.0
5.219 0.000 0.000
-2.609 4.519 0.000
0.000 0.000 5.363
Sr Cr Ir O
1 1 1 6
Direct
0.000 0.000 0.000
0.333 0.667 0.500
0.667 0.333 0.500
0.381 0.007 0.699
0.381 0.374 0.301
0.626 0.007 0.301
0.626 0.619 0.699
0.993 0.374 0.699
0.993 0.619 0.301

No. 20
GGA+U TaCrIrO6, relaxed; space group = P-31c, No. 163; total DFT energy (no corrections) = -8.214 eV/atom; crystal system = trigonal
1.0
5.097 0.000 0.000
-2.548 4.414 0.000
0.000 0.000 8.758
Ta Cr Ir O
2 2 2 12
Direct
0.333 0.667 0.250
0.667 0.333 0.750
0.333 0.667 0.750
0.667 0.333 0.250
0.000 0.000 0.000
0.000 0.000 0.500
0.005 0.334 0.128
0.005 0.671 0.372
0.329 0.334 0.372
0.329 0.995 0.128
0.334 0.005 0.628
0.334 0.329 0.872
0.666 0.671 0.128
0.666 0.995 0.372
0.671 0.005 0.872
0.671 0.666 0.628
0.995 0.329 0.628
0.995 0.666 0.872